Entry from the Alexandria database: a relaxed Hg5As2Br2 crystal (GGA-PBE).

a = 7.2564 Å, b = 7.2564 Å, c = 7.2988 Å
α = 100.81°, β = 100.81°, γ = 46.85°
Closest atoms and distances in Å follow each position.
Element x y z (fractional)
Hg (0.0000, 0.0000, 0.0000)  2 As 3.13, 2 Hg 3.48
Hg (0.2009, 0.2009, 0.7620)  1 As 2.59, 1 Br 2.67
Hg (0.4042, 0.4042, 0.5845)  2 As 2.90, 2 Hg 3.05-3.23
Hg (0.5958, 0.5958, 0.4155)  2 As 2.90, 2 Hg 3.05-3.23
Hg (0.7991, 0.7991, 0.2380)  1 As 2.59, 1 Br 2.67
As (0.0808, 0.0808, 0.4338)  1 As 2.53, 1 Hg 2.59
As (0.9192, 0.9192, 0.5662)  1 As 2.53, 1 Hg 2.59
Br (0.3471, 0.3471, 0.0721)  1 Hg 2.67
Br (0.6529, 0.6529, 0.9279)  1 Hg 2.67

Output
E_form (uncorrected): -110 meV/atom
symmetry: No. 12
N(E_F): 0.290 states/eV/atom
calculated volume: 30.5 Å³/atom
energy: -1.683 eV per atom

Entry from the Alexandria database: a relaxed Rb4InI7 crystal (GGA-PBE).

a = 10.3219 Å, b = 10.3219 Å, c = 14.7091 Å
α = 126.88°, β = 126.88°, γ = 34.12°
Closest atoms and distances in Å follow each position.
Element x y z (fractional)
Rb (0.1120, 0.1120, 0.3734)  4 I 3.63-3.70
Rb (0.2890, 0.2890, 0.1772)  4 I 3.63-3.74
Rb (0.7110, 0.7110, 0.8228)  4 I 3.63-3.74
Rb (0.8880, 0.8880, 0.6266)  4 I 3.63-3.70
In (0.5000, 0.5000, 0.0000)  4 I 2.72-3.03
I (0.0000, 0.0000, 0.0000)  2 In 3.03
I (0.1243, 0.1243, 0.8516)  4 Rb 3.63-3.74
I (0.3321, 0.3321, 0.4566)  4 Rb 3.63-3.70
I (0.3428, 0.3428, 0.7822)  1 In 2.72
I (0.6572, 0.6572, 0.2178)  1 In 2.72
I (0.6679, 0.6679, 0.5434)  4 Rb 3.63-3.70
I (0.8757, 0.8757, 0.1484)  4 Rb 3.63-3.74

Output
E_form (uncorrected): -1020 meV/atom
symmetry: No. 12
calculated volume: 57.0 Å³/atom
energy: -2.475 eV per atom

Q: Which of these has the highest calculated volume?
A: Rb4InI7

Q: calculated volume of number 1 (Hg5As2Br2)?
A: 30.5 Å³/atom

Q: Look up the calculated volume of the first one.
A: 30.5 Å³/atom